DFT (PBE) results for a relaxed structure of PmNb2Co9.

Unit cell a=4.8479 b=4.8479 c=23.4839 alpha=90.00 beta=90.00 gamma=120.00
With the nearest neighbours (Å) after each atom.
Space group R-3m (No. 166, hexagonal axes)
Asymmetric unit:
Pm (0.0000, 0.0000, 0.0000)  6 Co 2.80
Nb (0.0000, 0.0000, 0.1410)  12 Co 2.74-2.86, 3 Nb 3.05
Co (0.0000, 0.0000, 0.3357)  6 Co 2.44-2.50
Co (0.0000, 0.0000, 0.5000)  6 Co 2.36
Co (0.0074, 0.5037, 0.9133)  7 Co 2.36-2.50

Energy of formation   -0.099 eV/atom
Volume   13.3 Å³/atom
Raw total energy   -90.03 eV per formula unit